Arrangement one

VASP calculation (GGA-PBE) on a relaxed structure of HfInPO2.

It has space group P4/mmm (No. 123), with a = 4.016 Å, b = 4.016 Å, c = 5.523 Å, α = 90.00°, β = 90.00° and γ = 90.00°. Symmetry generates all atoms from Hf at (0.000, 0.000, 0.000), In at (0.500, 0.500, 0.500), P at (0.000, 0.000, 0.500) and O at (0.000, 0.500, 0.000).

Arrangement two

VASP calculation (GGA-PBE) on a relaxed structure of HfInPO2.

It has space group P4/mmm (No. 123), with a = 4.012 Å, b = 4.012 Å, c = 5.166 Å, α = 90.00°, β = 90.00° and γ = 90.00°. Symmetry generates all atoms from Hf at (0.000, 0.000, 0.000), In at (0.500, 0.500, 0.500), P at (0.500, 0.500, 0.000) and O at (0.000, 0.500, 0.500).

Which of them is the most stable, and which is the least stable? arrangement one and arrangement two, in that order.